Record 1
Computed, not measured: SrC2Se after structural relaxation at the PBE level of DFT.

Calculated values
* E_form (uncorrected): 99 kJ per mole of atoms
* volume: 64.38 Å³/f.u.
* DOS(E_F): 0.0 states/eV/cell
* magnetic moment: 0.00 μB per atom
* total DFT energy (no corrections): -0.179 Ha/atom

```
SrC2Se
1.0
-0.3919 5.9846 0.3970
-4.1607 -0.5578 4.3016
0.2855 2.7168 4.8275
C Sr Se
4 2 2
Cartesian
-2.6163 1.6629 3.9838
-0.6554 3.7655 1.9539
-1.8993 4.0181 5.8026
-3.3632 6.8404 7.3119
0.0000 0.0000 0.0000
-1.1914 5.7074 3.7869
-3.0757 2.4362 5.7392
-2.2763 2.7134 2.3493
```



Record 2
Computed, not measured: Sr2CSe after structural relaxation at the PBE level of DFT.

Calculated values
* E_form (uncorrected): -16 kJ per mole of atoms
* volume: 117.67 Å³/f.u.
* DOS(E_F): 0.6 states/eV/cell
* magnetic moment: 0.50 μB per atom
* total DFT energy (no corrections): -0.154 Ha/atom

```
Sr2CSe
1.0
-7.3793 0.5804 -1.0453
-1.1134 -5.7179 4.6851
-4.4919 0.1242 5.0481
Sr C Se
4 2 2
Cartesian
-10.7545 -4.1685 6.7794
-6.5992 -2.0671 5.3424
-5.5726 -0.3447 1.2370
-3.0428 -3.4464 4.0168
-4.2464 -2.5688 1.8199
-4.9258 -4.0812 5.7765
0.0000 0.0000 0.0000
-8.0588 -0.9321 2.9113
```



Record 3
Computed, not measured: SrC3Se after structural relaxation at the PBE level of DFT.

Calculated values
* energy relative to the lowest polymorph listed for this composition: 0 meV/atom
* E_form (uncorrected): 206 kJ per mole of atoms
* volume: 70.53 Å³/f.u.
* DOS(E_F): 4.2 states/eV/cell
* magnetic moment: 0.00 μB per atom
* total DFT energy (no corrections): -0.163 Ha/atom

```
SrC3Se
1.0
4.1316 0.0000 0.0000
0.0000 4.1316 0.0000
0.0000 0.0000 4.1316
C Se Sr
3 1 1
Cartesian
0.0000 0.0000 2.0658
0.0000 2.0658 0.0000
2.0658 0.0000 0.0000
0.0000 0.0000 0.0000
2.0658 2.0658 2.0658
```



Record 4
Computed, not measured: SrC3Se after structural relaxation at the PBE level of DFT.

Calculated values
* energy relative to the lowest polymorph listed for this composition: 1514 meV/atom
* E_form (uncorrected): 352 kJ per mole of atoms
* volume: 109.53 Å³/f.u.
* DOS(E_F): 5.3 states/eV/cell
* magnetic moment: 0.45 μB per atom
* total DFT energy (no corrections): -0.107 Ha/atom

```
SrC3Se
1.0
4.7846 0.0000 0.0000
0.0000 4.7846 0.0000
0.0000 0.0000 4.7846
Se Sr C
1 1 3
Cartesian
2.3923 2.3923 2.3923
0.0000 0.0000 0.0000
0.0000 0.0000 2.3923
0.0000 2.3923 0.0000
2.3923 0.0000 0.0000
```



Record 5
Computed, not measured: SrCSe3 after structural relaxation at the PBE level of DFT.

Calculated values
* energy relative to the lowest polymorph listed for this composition: 1579 meV/atom
* E_form (uncorrected): 168 kJ per mole of atoms
* volume: 205.80 Å³/f.u.
* DOS(E_F): 8.2 states/eV/cell
* magnetic moment: 0.69 μB per atom
* total DFT energy (no corrections): -0.093 Ha/atom

```
SrCSe3
1.0
5.9040 0.0000 0.0000
0.0000 5.9040 0.0000
0.0000 0.0000 5.9040
Se Sr C
3 1 1
Cartesian
0.0000 0.0000 2.9520
2.9520 0.0000 0.0000
0.0000 2.9520 0.0000
0.0000 0.0000 0.0000
2.9520 2.9520 2.9520
```



Record 6
Computed, not measured: SrCSe3 after structural relaxation at the PBE level of DFT.

Calculated values
* energy relative to the lowest polymorph listed for this composition: 0 meV/atom
* E_form (uncorrected): 16 kJ per mole of atoms
* volume: 101.36 Å³/f.u.
* DOS(E_F): 3.2 states/eV/cell
* magnetic moment: 0.00 μB per atom
* total DFT energy (no corrections): -0.151 Ha/atom

```
SrCSe3
1.0
4.6625 0.0000 0.0000
0.0000 4.6625 0.0000
0.0000 0.0000 4.6625
Se Sr C
3 1 1
Cartesian
0.0000 2.3313 0.0000
0.0000 0.0000 2.3313
2.3313 0.0000 0.0000
2.3313 2.3313 2.3313
0.0000 0.0000 0.0000
```



Which value of DOS(E_F) does entry 3 give? 4.2 states/eV/cell



Which value of volume does entry 5 give? 205.80 Å³/f.u.